# Ac2TbCeS6 PBE-GGA optimized geometry
data_Ac2TbCeS6
_chemical_formula_sum 'Ac2 Tb1 Ce1 S6'
_cell_length_a 7.352
_cell_length_b 7.352
_cell_length_c 7.595
_cell_angle_alpha 61.05
_cell_angle_beta 61.05
_cell_angle_gamma 60.00
_symmetry_space_group_name_H-M 'P 1'
_symmetry_Int_Tables_number 1
_symmetry_space_group_name_Hall 'P 1'
loop_
_atom_site_label
_atom_site_fract_x
_atom_site_fract_y
_atom_site_fract_z
_atom_site_occupancy
Ac1 0.528 0.528 0.416 1
Ac2 0.027 0.027 0.919 1
Tb1 0.315 0.315 0.054 1
Ce1 0.814 0.814 0.558 1
S1 0.600 0.188 0.259 1
S2 0.188 0.952 0.259 1
S3 0.952 0.600 0.259 1
S4 0.442 0.684 0.763 1
S5 0.684 0.111 0.763 1
S6 0.111 0.442 0.763 1
# crystal system = trigonal
# total magnetic moment = 1.01 Bohr magnetons per cell
# formation energy (no corrections) = -2.066 eV per atom